(1)
{
  "formula": "CaTaAs",
  "functional": "PBE",
  "state": "relaxed",
  "cell": [[3.5690, 0.0000, 0.0000], [-1.7845, 3.0908, 0.0000], [0.0000, 0.0000, 6.2934]],
  "species": ["As", "Ca", "Ta"],
  "frac_coords": [[0.0000, 0.0000, 0.9704], [0.6667, 0.3333, 0.3014], [0.3333, 0.6667, 0.7282]],
  "e_above_lowest_polymorph_ev_per_atom": 0.5591,
  "space_group": "P3m1",
  "delta_e_f_ev_per_atom": -0.0767
}

(2)
{
  "formula": "NaTlTePt2",
  "functional": "PBE",
  "state": "relaxed",
  "cell": [[-0.0177, 3.9880, 2.9784], [0.1083, -3.1140, 4.1703], [4.9764, 0.0762, -0.0724]],
  "species": ["Na", "Tl", "Te", "Pt", "Pt"],
  "frac_coords": [[0.0000, 0.0000, 0.0000], [0.5000, 0.5000, 0.5000], [0.0000, 0.5000, 0.0000], [0.0000, 0.0000, 0.5000], [0.5000, 0.0000, 0.0000]],
  "space_group": "P4/mmm"
}

(3)
{
  "formula": "LiRu2Br",
  "functional": "PBE",
  "state": "relaxed",
  "cell": [[4.4160, 0.0000, 0.0000], [2.2080, 3.8244, 0.0000], [2.2080, 1.2748, 3.6057]],
  "species": ["Br", "Li", "Ru", "Ru"],
  "frac_coords": [[0.5000, 0.5000, 0.5000], [0.7500, 0.7500, 0.7500], [0.0000, 0.0000, 0.0000], [0.2500, 0.2500, 0.2500]],
  "e_above_lowest_polymorph_ev_per_atom": 0.4832,
  "space_group": "F-43m"
}

(4)
{
  "formula": "MgSc2P",
  "functional": "PBE",
  "state": "relaxed",
  "cell": [[-2.7393, -2.0339, -1.7415], [-1.1601, -1.3952, 3.4543], [-3.9509, 3.3960, 2.2484]],
  "species": ["Mg", "P", "Sc", "Sc"],
  "frac_coords": [[0.0000, 0.6983, 0.4777], [0.5000, 0.5374, 0.8006], [0.0000, 0.9809, 0.9136], [0.5000, 0.2835, 0.3080]],
  "e_above_lowest_polymorph_ev_per_atom": 0.0905,
  "space_group": "Amm2",
  "delta_e_f_ev_per_atom": -0.6176
}

(5)
{
  "formula": "CdBSb3",
  "functional": "PBE",
  "state": "relaxed",
  "cell": [[-2.0057, 3.7309, -3.5134], [-3.9533, -3.5273, -1.4888], [-3.2612, 1.9812, 3.9656]],
  "species": ["Sb", "Sb", "Sb", "B", "Cd"],
  "frac_coords": [[0.0000, 0.5000, 0.0000], [0.0000, 0.0000, 0.5000], [0.5000, 0.0000, 0.0000], [0.5000, 0.5000, 0.5000], [0.0000, 0.0000, 0.0000]],
  "e_above_lowest_polymorph_ev_per_atom": 0.9480,
  "space_group": "Pm-3m"
}

(6)
{
  "formula": "LiScGe",
  "functional": "PBE",
  "state": "relaxed",
  "cell": [[-2.8434, -1.3104, 2.0334], [-0.3344, -2.8949, -2.3333], [4.1722, -0.0100, 2.4008]],
  "species": ["Sc", "Ge", "Li"],
  "frac_coords": [[0.6088, 0.6088, 0.2176], [0.9590, 0.9590, 0.9181], [0.2822, 0.2822, 0.5643]],
  "space_group": "I4mm",
  "delta_e_f_ev_per_atom": -0.2836
}

(7)
{
  "formula": "La6CuRh2I3",
  "functional": "PBE",
  "state": "relaxed",
  "cell": [[7.4063, -0.0004, -0.0003], [-3.7017, 6.4148, -0.0003], [-1.2357, -2.1395, 8.2631]],
  "species": ["La", "La", "La", "La", "La", "La", "Cu", "Rh", "Rh", "I", "I", "I"],
  "frac_coords": [[0.9376, 0.5944, 0.8124], [0.7193, 0.7193, 0.1871], [0.0624, 0.4056, 0.1876], [0.5944, 0.9376, 0.8124], [0.2807, 0.2807, 0.8129], [0.4056, 0.0624, 0.1876], [0.0000, 0.0000, 0.0000], [0.3332, 0.6668, 0.0000], [0.6668, 0.3332, 0.0000], [0.1655, 0.8345, 0.5000], [0.8345, 0.1655, 0.5000], [0.5000, 0.5000, 0.5000]],
  "space_group": "C2/m"
}

Number 1: uncorrected energy -6.245 eV/atom, total moment 0.4 μB per cell. Number 2: uncorrected energy -2.826 eV/atom, total moment 0.0 μB per cell. Number 3: uncorrected energy -4.887 eV/atom, total moment 0.0 μB per cell. Number 4: uncorrected energy -5.535 eV/atom, total moment 0.0 μB per cell. Number 5: uncorrected energy -2.342 eV/atom, total moment 0.0 μB per cell. Number 6: uncorrected energy -4.571 eV/atom, total moment 0.0 μB per cell. Number 7: uncorrected energy -5.310 eV/atom, total moment 0.0 μB per cell.